No. 1
PrMg | Alexandria | SCAN | single point on PBEsol structure; M_tot = 0.000 μB per atom; calculated formation energy = -0.13 eV per atom
1.0
-0.685 3.596 1.209
-2.610 -1.338 2.501
2.753 -0.374 2.673
Pr Mg
1 1
direct
0.500 0.500 0.500
0.000 0.000 0.000

No. 2
MnPRu2 | Alexandria | SCAN | single point on PBEsol structure; offset from the most stable computed form = 0.187 eV/atom; M_tot = 1.070 μB per atom; calculated formation energy = 0.00 eV per atom
1.0
-0.072 1.864 2.062
-2.423 -0.531 -1.255
-1.387 -5.670 5.076
Ru P Mn
2 1 1
direct
0.000 0.000 0.776
0.000 0.000 0.224
0.500 0.500 0.000
0.500 0.500 0.500

No. 3
ScSiHg2 | Alexandria | SCAN | single point on PBEsol structure; DFT total energy = -161.00 eV per cell; M_tot = 0.000 μB per atom
1.0
-1.594 -0.212 2.955
3.955 -1.783 1.951
1.545 4.709 1.171
Si Hg Sc
1 2 1
direct
0.500 0.000 0.500
0.736 0.752 0.000
0.264 0.248 0.000
0.000 0.500 0.500